No. 1
VASP calculation (PBE) on an optimized crystal structure of LaVGe2As.

abc: 5.518 5.518 5.518
angles: 90.00 90.00 90.00
Each line ends with the local moment (μB).
Sites, in units of the cell vectors:
As (0.000, 0.500, 0.000)  -0.07
V (0.500, 0.500, 0.500)  3.04
Ge (0.000, 0.000, 0.500)  -0.10
Ge (0.500, 0.000, 0.000)  -0.06
La (0.000, 0.000, 0.000)  -0.09

Its symmetry is No. 123. The calculation puts the total energy at -21.899 eV/f.u.

No. 2
VASP calculation (PBE) on an optimized crystal structure of KCu2P.

abc: 6.019 8.517 8.174
angles: 90.00 90.00 90.00
Sites, in units of the cell vectors:
K (0.000, 0.250, 0.618)
K (0.500, 0.750, 0.119)
K (0.000, 0.750, 0.382)
K (0.500, 0.250, 0.881)
Cu (0.000, 0.000, 0.000)
Cu (0.500, 0.500, 0.500)
Cu (0.250, 0.750, 0.750)
Cu (0.750, 0.250, 0.250)
Cu (0.750, 0.750, 0.750)
Cu (0.250, 0.250, 0.250)
Cu (0.000, 0.500, 0.000)
Cu (0.500, 0.000, 0.500)
P (0.500, 0.750, 0.551)
P (0.500, 0.250, 0.449)
P (0.000, 0.250, 0.050)
P (0.000, 0.750, 0.950)

Its symmetry is No. 51. The calculation puts the total energy at -15.373 eV/f.u.

No. 3
VASP calculation (PBE) on an optimized crystal structure of K2ZnW.

abc: 6.449 6.449 6.449
angles: 142.54 142.54 54.02
Each line ends with the local moment (μB).
Sites, in units of the cell vectors:
K (0.000, 0.000, 0.000)  0.00
K (0.500, 0.500, 0.000)  0.00
W (0.250, 0.750, 0.500)  1.60
Zn (0.750, 0.250, 0.500)  0.00

Its symmetry is No. 139. The calculation puts the total energy at -10.550 eV/f.u.

Which formula does entry 3 have? K2ZnW

What is the formula in the third record? K2ZnW